Record 1
SmMgGa2Ag5 PBE-GGA optimized geometry; E = -27.2 eV per formula unit; formation enthalpy at 0 K = -0.060 eV per atom; space group = P4/mmm (123); spin magnetization = 0.000 μB per atom
1.0
-3.316 -3.558 -0.560
3.548 -3.095 -1.341
0.992 -2.101 7.472
Ag Ga Sm Mg
5 2 1 1
direct
0.500 0.000 0.739 Ag
0.500 0.000 0.261 Ag
0.500 0.500 0.500 Ag
0.000 0.500 0.739 Ag
0.000 0.500 0.261 Ag
0.500 0.500 0.156 Ga
0.500 0.500 0.844 Ga
0.000 0.000 0.500 Sm
0.000 0.000 0.000 Mg

Record 2
Mg5GaAg2Sn2 PBE-GGA optimized geometry; E = -25.6 eV per formula unit; formation enthalpy at 0 K = -0.084 eV per atom; space group = P4/mbm (127); spin magnetization = 0.000 μB per atom
1.0
-0.754 2.022 2.776
-9.818 2.649 -4.595
-4.734 -8.736 5.078
Mg Sn Ag Ga
10 4 4 2
direct
0.500 0.500 0.000 Mg
0.500 0.798 0.964 Mg
0.500 0.964 0.202 Mg
0.500 0.000 0.500 Mg
0.500 0.464 0.298 Mg
0.500 0.036 0.798 Mg
0.500 0.536 0.702 Mg
0.500 0.702 0.464 Mg
0.500 0.298 0.536 Mg
0.500 0.202 0.036 Mg
0.000 0.322 0.822 Sn
0.000 0.822 0.678 Sn
0.000 0.678 0.178 Sn
0.000 0.178 0.322 Sn
0.000 0.635 0.865 Ag
0.000 0.365 0.135 Ag
0.000 0.865 0.365 Ag
0.000 0.135 0.635 Ag
0.000 0.000 0.000 Ga
0.000 0.500 0.500 Ga

Record 3
SrMg2Ga4Ag PBE-GGA optimized geometry; E = -21.3 eV per formula unit; formation enthalpy at 0 K = -0.178 eV per atom; space group = R-3m (166); spin magnetization = 0.000 μB per atom
1.0
4.676 0.000 0.000
2.338 4.049 0.000
2.338 1.350 9.346
Ag Sr Ga Mg
1 1 4 2
direct
0.500 0.500 0.500 Ag
0.000 0.000 0.000 Sr
0.599 0.599 0.202 Ga
0.401 0.401 0.798 Ga
0.125 0.125 0.625 Ga
0.875 0.875 0.375 Ga
0.235 0.235 0.295 Mg
0.765 0.765 0.705 Mg

Number 3 is which compound?
SrMg2Ga4Ag